Entry 1:
This record from Alexandria describes a relaxed structure of BaSr2H6Rh. The functional is PBE.

Unit cell a=7.0824 b=5.3154 c=5.3154 alpha=120.00 beta=90.00 gamma=90.00
Last column: nearest neighbours and their distance in Å.
Fractional coordinates of all 10 atoms:
Sr (0.1533, 0.3333, 0.6667)  9 H 2.66-2.68
Sr (0.8467, 0.6667, 0.3333)  9 H 2.66-2.68
H (0.1430, 0.8483, 0.1517)  1 Rh 1.73
H (0.8570, 0.1517, 0.8483)  1 Rh 1.73
H (0.1430, 0.8483, 0.6966)  1 Rh 1.73
H (0.8570, 0.6966, 0.8483)  1 Rh 1.73
H (0.1430, 0.3034, 0.1517)  1 Rh 1.73
H (0.8570, 0.1517, 0.3034)  1 Rh 1.73
Rh (0.0000, 0.0000, 0.0000)  6 H 1.73
Ba (0.5000, 0.0000, 0.0000)  6 H 2.89

Computed properties:
As for the crystal system: trigonal. The calculation puts the energy at -3.7291 eV per atom. The calculated volume is 17.3 A^3/atom.

***

Entry 2:
This record from Alexandria describes a relaxed structure of SrTc2Sn. The functional is PBE.

Unit cell a=4.7235 b=4.7235 c=10.1882 alpha=76.60 beta=76.60 gamma=90.00
Last column: nearest neighbours and their distance in Å.
Fractional coordinates of all 8 atoms:
Tc (0.8750, 0.0755, 0.7500)  2 Tc 2.41, 2 Sn 2.69
Tc (0.9245, 0.6250, 0.2500)  2 Tc 2.41, 2 Sn 2.69
Tc (0.3750, 0.1745, 0.7500)  2 Tc 2.41, 2 Sn 2.69
Tc (0.8255, 0.1250, 0.2500)  2 Tc 2.41, 2 Sn 2.69
Sn (0.0000, 0.0000, 0.0000)  4 Tc 2.69
Sn (0.7500, 0.2500, 0.5000)  4 Tc 2.69
Sr (0.5000, 0.5000, 0.0000)  4 Sn 3.34, 8 Tc 3.42-3.73
Sr (0.2500, 0.7500, 0.5000)  4 Sn 3.34, 8 Tc 3.42-3.73

Computed properties:
As for the crystal system: tetragonal. The value obtained for the formation energy is 591 meV/atom. The calculated volume is 26.8 A^3/atom.

***

Entry 3:
This record from Alexandria describes a relaxed structure of LaGa2Cu2Ni. The functional is PBE.

Unit cell a=4.5600 b=4.5600 c=5.3713 alpha=90.00 beta=90.00 gamma=90.00
Last column: nearest neighbours and their distance in Å.
Fractional coordinates of all 6 atoms:
La (0.0000, 0.0000, 0.5000)  2 Ni 2.69
Ga (0.5000, 0.0000, 0.0000)  2 Ni 2.28
Ga (0.0000, 0.5000, 0.0000)  2 Ni 2.28
Cu (0.5000, 0.5000, 0.2706)  1 Cu 2.46, 4 Ga 2.70
Cu (0.5000, 0.5000, 0.7294)  1 Cu 2.46, 4 Ga 2.70
Ni (0.0000, 0.0000, 0.0000)  4 Ga 2.28

Computed properties:
As for the crystal system: tetragonal. The value obtained for the formation energy is -200 meV/atom. The calculated volume is 18.6 A^3/atom.

***

Entry 4:
This record from Alexandria describes a relaxed structure of Ba4IrSeI2. The functional is PBE.

Unit cell a=4.6798 b=8.2744 c=8.8358 alpha=106.93 beta=90.00 gamma=90.00
Last column: nearest neighbours and their distance in Å.
Fractional coordinates of all 8 atoms:
I (0.5000, 0.0000, 0.5000)  6 Ba 3.76-3.88
I (0.0000, 0.5000, 0.5000)  6 Ba 3.63-3.68
Ba (0.0000, 0.7237, 0.2019)  2 Ir 3.19, 1 Se 3.28
Ba (0.5000, 0.7419, 0.8032)  1 Ir 3.01, 2 Se 3.30
Ba (0.0000, 0.2763, 0.7981)  2 Ir 3.19, 1 Se 3.28
Ba (0.5000, 0.2581, 0.1968)  1 Ir 3.01, 2 Se 3.30
Se (0.0000, 0.0000, 0.0000)  6 Ba 3.28-3.30
Ir (0.5000, 0.5000, 0.0000)  6 Ba 3.01-3.19

Computed properties:
As for the crystal system: monoclinic. For the formation energy (no corrections), the calculation gives -10.13 eV/f.u. The calculated volume is 40.9 A^3/atom.

***

Entry 5:
This record from Alexandria describes a relaxed structure of K3NaHg3. The functional is PBE.

Unit cell a=8.3539 b=8.3539 c=8.2638 alpha=88.67 beta=88.67 gamma=93.73
Last column: nearest neighbours and their distance in Å.
Fractional coordinates of all 14 atoms:
Hg (0.4956, 0.0384, 0.3058)  1 Na 3.17, 1 Hg 3.26, 2 K 3.43-3.49
Hg (0.0676, 0.0676, 0.8391)  1 Hg 3.03, 1 Na 3.12
Hg (0.9616, 0.5044, 0.6942)  1 Na 3.17, 1 Hg 3.26, 2 K 3.43-3.49
Hg (0.5044, 0.9616, 0.6942)  1 Na 3.17, 1 Hg 3.26, 2 K 3.43-3.49
Hg (0.0384, 0.4956, 0.3058)  1 Na 3.17, 1 Hg 3.26, 2 K 3.43-3.49
Hg (0.9324, 0.9324, 0.1609)  1 Hg 3.03, 1 Na 3.12
K (0.7265, 0.2735, 0.0000)  4 Hg 3.61-3.66
K (0.6619, 0.6619, 0.3875)  5 Hg 3.56-3.87
K (0.1618, 0.8382, 0.5000)  6 Hg 3.43-3.53
K (0.2735, 0.7265, 0.0000)  4 Hg 3.61-3.66
K (0.8382, 0.1618, 0.5000)  6 Hg 3.43-3.53
K (0.3381, 0.3381, 0.6125)  5 Hg 3.56-3.87
Na (0.7666, 0.7666, 0.8684)  4 Hg 3.12-3.44
Na (0.2334, 0.2334, 0.1316)  4 Hg 3.12-3.44

Computed properties:
As for the crystal system: monoclinic. The calculation puts the relative energy among the computed polymorphs at 47 meV per atom. The value obtained for the formation energy is -173 meV/atom. The calculated volume is 41.1 A^3/atom.

***

Entry 6:
This record from Alexandria describes a relaxed structure of LiAl3Fe2. The functional is PBE.

Unit cell a=2.8878 b=2.8878 c=9.2543 alpha=90.00 beta=90.00 gamma=90.00
Last column: nearest neighbours and their distance in Å.
Fractional coordinates of all 6 atoms:
Al (0.0000, 0.0000, 0.6956)  4 Fe 2.45, 4 Li 2.73
Al (0.0000, 0.0000, 0.0000)  8 Fe 2.51
Al (0.0000, 0.0000, 0.3044)  4 Fe 2.45, 4 Li 2.73
Li (0.5000, 0.5000, 0.5000)  8 Al 2.73, 4 Li 2.89
Fe (0.5000, 0.5000, 0.8426)  8 Al 2.45-2.51
Fe (0.5000, 0.5000, 0.1574)  8 Al 2.45-2.51

Computed properties:
As for the crystal system: tetragonal. The value obtained for the formation energy is -277 meV/atom. The calculated volume is 12.9 A^3/atom.

***

Entry 7:
This record from Alexandria describes a relaxed structure of RbZn2Au. The functional is PBE.

Unit cell a=4.4882 b=7.7622 c=6.6093 alpha=90.00 beta=90.00 gamma=90.00
Last column: nearest neighbours and their distance in Å.
Fractional coordinates of all 8 atoms:
Zn (0.5000, 0.3231, 0.0588)  3 Zn 2.63-2.75, 3 Au 2.63-2.66
Zn (0.5000, 0.6769, 0.0588)  3 Zn 2.63-2.75, 3 Au 2.63-2.66
Zn (0.0000, 0.8231, 0.9412)  3 Zn 2.63-2.75, 3 Au 2.63-2.66
Zn (0.0000, 0.1769, 0.9412)  3 Zn 2.63-2.75, 3 Au 2.63-2.66
Rb (0.5000, 0.5000, 0.5686)  4 Zn 3.52-3.64
Rb (0.0000, 0.0000, 0.4314)  4 Zn 3.52-3.64
Au (0.0000, 0.5000, 0.0747)  6 Zn 2.63-2.66
Au (0.5000, 0.0000, 0.9253)  6 Zn 2.63-2.66

Computed properties:
As for the crystal system: orthorhombic. The calculation puts the relative energy among the computed polymorphs at 25 meV per atom. The value obtained for the formation energy is -184 meV/atom. The calculated volume is 28.8 A^3/atom.

***

Entry 8:
This record from Alexandria describes a relaxed structure of Er8MgBi2. The functional is PBE.

Unit cell a=5.8719 b=8.3595 c=8.3595 alpha=117.58 beta=100.24 gamma=100.24
Last column: nearest neighbours and their distance in Å.
Fractional coordinates of all 11 atoms:
Mg (0.5000, 0.0000, 0.0000)  8 Er 3.26-3.63
Er (0.1346, 0.0951, 0.3231)  2 Bi 3.12-3.21, 2 Er 3.26-3.42
Er (0.3007, 0.5995, 0.5995)  1 Mg 3.26, 2 Bi 3.27, 6 Er 3.35-3.58
Er (0.6993, 0.4005, 0.4005)  1 Mg 3.26, 2 Bi 3.27, 6 Er 3.35-3.58
Er (0.1346, 0.3231, 0.0951)  2 Bi 3.12-3.21, 2 Er 3.26-3.42
Er (0.8654, 0.6769, 0.9049)  2 Bi 3.12-3.21, 2 Er 3.26-3.42
Er (0.8654, 0.9049, 0.6769)  2 Bi 3.12-3.21, 2 Er 3.26-3.42
Er (0.5000, 0.2290, 0.7710)  2 Bi 3.12, 1 Mg 3.27
Er (0.5000, 0.7710, 0.2290)  2 Bi 3.12, 1 Mg 3.27
Bi (0.0000, 0.3038, 0.6962)  8 Er 3.12-3.27
Bi (0.0000, 0.6962, 0.3038)  8 Er 3.12-3.27

Computed properties:
As for the crystal system: monoclinic. The value obtained for the formation energy is -118 meV/atom. The calculated volume is 31.1 A^3/atom.

***

Copy entry 5 word for word.
This record from Alexandria describes a relaxed structure of K3NaHg3. The functional is PBE.

Unit cell a=8.3539 b=8.3539 c=8.2638 alpha=88.67 beta=88.67 gamma=93.73
Last column: nearest neighbours and their distance in Å.
Fractional coordinates of all 14 atoms:
Hg (0.4956, 0.0384, 0.3058)  1 Na 3.17, 1 Hg 3.26, 2 K 3.43-3.49
Hg (0.0676, 0.0676, 0.8391)  1 Hg 3.03, 1 Na 3.12
Hg (0.9616, 0.5044, 0.6942)  1 Na 3.17, 1 Hg 3.26, 2 K 3.43-3.49
Hg (0.5044, 0.9616, 0.6942)  1 Na 3.17, 1 Hg 3.26, 2 K 3.43-3.49
Hg (0.0384, 0.4956, 0.3058)  1 Na 3.17, 1 Hg 3.26, 2 K 3.43-3.49
Hg (0.9324, 0.9324, 0.1609)  1 Hg 3.03, 1 Na 3.12
K (0.7265, 0.2735, 0.0000)  4 Hg 3.61-3.66
K (0.6619, 0.6619, 0.3875)  5 Hg 3.56-3.87
K (0.1618, 0.8382, 0.5000)  6 Hg 3.43-3.53
K (0.2735, 0.7265, 0.0000)  4 Hg 3.61-3.66
K (0.8382, 0.1618, 0.5000)  6 Hg 3.43-3.53
K (0.3381, 0.3381, 0.6125)  5 Hg 3.56-3.87
Na (0.7666, 0.7666, 0.8684)  4 Hg 3.12-3.44
Na (0.2334, 0.2334, 0.1316)  4 Hg 3.12-3.44

Computed properties:
As for the crystal system: monoclinic. The calculation puts the relative energy among the computed polymorphs at 47 meV per atom. The value obtained for the formation energy is -173 meV/atom. The calculated volume is 41.1 A^3/atom.

***

Among the records above, which one has the highest calculated volume? K3NaHg3

***

Number 2 is which compound? SrTc2Sn